LiZrTlNi | GGA-PBE | relaxed

Summary:
As for the energy above the most stable polymorph in this dataset: 204 meV/atom. The theoretical density is 8.46 g/cm3. Its uncorrected energy is -4.64 eV/atom. As for the space group: F-43m (216).

```
4
Lattice="-3.622 -2.607 -1.293 -3.774 2.007 -1.822 -0.975 -0.549 -4.510" Properties=species:S:1:pos:R:3 pbc="T T T"
Li -6.279 -0.862 -5.719
Ni 0.000 0.000 0.000
Tl -4.186 -0.575 -3.813
Zr -2.093 -0.287 -1.906
```